Material: Tm8HgTe4Se3
Method: DFT, PBE
State: relaxed

Output
As for the uncorrected formation energy: -1285 meV/atom.

Cell lengths 8.3649, 8.4581, 8.3661 Å; angles 119.64, 120.00, 90.00 degrees
Last column: nearest neighbours and their distance in Å.
Fractional coordinates of all 16 atoms:
Se1 0.5000 0.5000 0.0000  6 Tm 2.84-2.87
Te1 0.0000 0.0000 0.5000  6 Tm 3.09-3.12
Se2 0.5000 0.5000 0.5000  6 Tm 2.84-2.87
Te2 0.5000 0.0000 0.0000  6 Tm 3.09
Tm1 0.2406 0.7228 0.4812  1 Hg 2.86, 2 Se 2.87, 3 Te 3.09
Tm2 0.2407 0.7230 0.9824  1 Hg 2.86, 2 Se 2.87, 3 Te 3.09
Te3 0.5000 0.0000 0.5000  6 Tm 3.09-3.12
Tm3 0.2617 0.2849 0.5234  3 Se 2.84, 3 Te 3.12
Te4 0.0000 0.0000 0.0000  6 Tm 3.09-3.12
Tm4 0.7417 0.7230 0.9824  1 Hg 2.86, 2 Se 2.87, 3 Te 3.09
Tm5 0.7383 0.7151 0.4766  3 Se 2.84, 3 Te 3.12
Tm6 0.7594 0.2772 0.5188  1 Hg 2.86, 2 Se 2.87, 3 Te 3.09
Tm7 0.7593 0.2770 0.0176  1 Hg 2.86, 2 Se 2.87, 3 Te 3.09
Hg1 0.0000 0.5000 0.0000  6 Tm 2.86
Tm8 0.2583 0.2770 0.0176  1 Hg 2.86, 2 Se 2.87, 3 Te 3.09
Se3 0.0000 0.5000 0.5000  6 Tm 2.84-2.87

Material: NpScAs2
Method: DFT, PBE
State: relaxed

Output
Its relative energy among the computed polymorphs is 37 meV per atom. For the formation enthalpy at 0 K, the calculation gives -0.9866 eV per atom.

Cell lengths 3.9199, 3.9199, 13.4800 Å; angles 90.00, 90.00, 120.00 degrees
Last column: nearest neighbours and their distance in Å.
Fractional coordinates of all 8 atoms:
As1 0.6667 0.3333 0.6156  3 Sc 2.75, 3 Np 2.90
Np1 0.3333 0.6667 0.7500  6 As 2.90
As2 0.6667 0.3333 0.8844  3 Sc 2.75, 3 Np 2.90
Sc1 0.0000 0.0000 0.5000  6 As 2.75
As3 0.3333 0.6667 0.3844  3 Sc 2.75, 3 Np 2.90
Np2 0.6667 0.3333 0.2500  6 As 2.90
As4 0.3333 0.6667 0.1156  3 Sc 2.75, 3 Np 2.90
Sc2 0.0000 0.0000 0.0000  6 As 2.75

Material: Sm2AlGa3
Method: DFT, PBE
State: relaxed

Output
Its relative energy among the computed polymorphs is 0 meV per atom. For the formation enthalpy at 0 K, the calculation gives -0.6364 eV per atom.

Cell lengths 5.9953, 5.9953, 8.5440 Å; angles 110.11, 110.11, 91.14 degrees
Last column: nearest neighbours and their distance in Å.
Fractional coordinates of all 12 atoms:
Al1 0.6664 0.6664 0.3329  3 Ga 2.47-2.48
Sm1 0.2500 0.7500 0.5000  8 Ga 3.24-3.25, 4 Al 3.25
Ga1 0.8333 0.8333 0.6665  2 Ga 2.48, 1 Al 2.48
Ga2 0.1667 0.1667 0.3335  2 Ga 2.48, 1 Al 2.48
Ga3 0.8329 0.3331 0.1660  2 Ga 2.47-2.48, 1 Al 2.47
Sm2 0.7500 0.2500 0.5000  8 Ga 3.24-3.25, 4 Al 3.25
Sm3 0.7529 0.7529 0.0000  10 Ga 3.23-3.26, 2 Al 3.26
Al2 0.3336 0.3336 0.6671  3 Ga 2.47-2.48
Ga4 0.3331 0.8329 0.1660  2 Ga 2.47-2.48, 1 Al 2.47
Ga5 0.6669 0.1671 0.8340  2 Ga 2.47-2.48, 1 Al 2.47
Sm4 0.2471 0.2471 0.0000  10 Ga 3.23-3.26, 2 Al 3.26
Ga6 0.1671 0.6669 0.8340  2 Ga 2.47-2.48, 1 Al 2.47

Material: AcPuGaSn
Method: DFT, PBE
State: relaxed

Output
For the formation enthalpy at 0 K, the calculation gives -0.3220 eV per atom.

Cell lengths 5.4845, 5.4845, 5.4845 Å; angles 60.00, 60.00, 60.00 degrees
Last column: nearest neighbours and their distance in Å.
Fractional coordinates of all 4 atoms:
Ac1 0.0000 0.0000 0.0000  4 Ga 3.36, 4 Sn 3.36
Sn1 0.2500 0.2500 0.2500  4 Ac 3.36, 4 Pu 3.36
Pu1 0.5000 0.5000 0.5000  4 Sn 3.36, 4 Ga 3.36
Ga1 0.7500 0.7500 0.7500  4 Pu 3.36, 4 Ac 3.36

Material: Ba2NaCdCu
Method: DFT, PBE
State: relaxed

Output
Its relative energy among the computed polymorphs is 74 meV per atom. For the formation enthalpy at 0 K, the calculation gives 0.0367 eV per atom.

Cell lengths 6.2055, 6.2055, 5.3635 Å; angles 90.00, 90.00, 90.00 degrees
Last column: nearest neighbours and their distance in Å.
Fractional coordinates of all 5 atoms:
Ba1 0.0000 0.5000 0.0000  2 Cu 3.10
Na1 0.0000 0.0000 0.5000  2 Cu 2.68
Cd1 0.5000 0.5000 0.5000  8 Ba 4.10, 4 Na 4.39
Cu1 0.0000 0.0000 0.0000  2 Na 2.68
Ba2 0.5000 0.0000 0.0000  2 Cu 3.10

Material: NaHo5Cd6
Method: DFT, PBE
State: relaxed

Output
For the formation enthalpy at 0 K, the calculation gives -0.2662 eV per atom.

Cell lengths 5.2611, 7.4466, 8.3049 Å; angles 90.00, 71.52, 90.00 degrees
Last column: nearest neighbours and their distance in Å.
Fractional coordinates of all 12 atoms:
Cd1 0.8337 0.2478 0.3326  1 Na 3.20, 7 Ho 3.21-3.24
Ho1 0.6663 0.0000 0.6675  8 Cd 3.21-3.22
Ho2 0.6662 0.5000 0.6676  8 Cd 3.21-3.24
Ho3 0.0000 0.5000 0.0000  8 Cd 3.22
Cd2 0.8337 0.7522 0.3326  1 Na 3.20, 7 Ho 3.21-3.24
Cd3 0.5000 0.7498 0.0000  6 Ho 3.21-3.22, 2 Na 3.22
Cd4 0.1663 0.2478 0.6674  1 Na 3.20, 7 Ho 3.21-3.24
Na1 0.0000 0.0000 0.0000  8 Cd 3.20-3.22
Cd5 0.5000 0.2502 0.0000  6 Ho 3.21-3.22, 2 Na 3.22
Ho4 0.3337 0.0000 0.3325  8 Cd 3.21-3.22
Cd6 0.1663 0.7522 0.6674  1 Na 3.20, 7 Ho 3.21-3.24
Ho5 0.3338 0.5000 0.3324  8 Cd 3.21-3.24

Material: LaSmGa
Method: DFT, PBE
State: relaxed

Output
Its relative energy among the computed polymorphs is 334 meV per atom. For the formation enthalpy at 0 K, the calculation gives -0.0772 eV per atom.

Cell lengths 5.9857, 3.4830, 9.0750 Å; angles 78.94, 90.00, 90.00 degrees
Last column: nearest neighbours and their distance in Å.
Fractional coordinates of all 6 atoms:
Sm1 0.0000 0.0000 0.0000  2 Sm 2.99, 2 Ga 3.08
La1 0.7500 0.6718 0.6564  5 Ga 3.15-3.48, 2 La 3.48
Ga1 0.2500 0.1514 0.6973  2 Sm 3.08, 1 La 3.15
Sm2 0.5000 0.0000 0.0000  2 Sm 2.99, 2 Ga 3.08
Ga2 0.7500 0.8486 0.3027  2 Sm 3.08, 1 La 3.15
La2 0.2500 0.3282 0.3436  5 Ga 3.15-3.48, 2 La 3.48

Material: Ce3DyHo4P8
Method: DFT, PBE
State: relaxed

Output
For the formation enthalpy at 0 K, the calculation gives -1.5734 eV per atom.

Cell lengths 8.0533, 8.0434, 8.0532 Å; angles 120.04, 120.00, 90.00 degrees
Last column: nearest neighbours and their distance in Å.
Fractional coordinates of all 16 atoms:
Ho1 0.0000 0.0000 0.5000  6 P 2.83
Ho2 0.0000 0.0000 0.0000  6 P 2.83
Ce1 0.0000 0.5000 0.5000  6 P 2.86
Ho3 0.5000 0.0000 0.5000  6 P 2.83
P1 0.2483 0.2450 0.4967  3 Ho 2.83, 3 Ce 2.86
P2 0.2504 0.7527 0.5009  3 Ho 2.83-2.84, 1 Dy 2.85, 2 Ce 2.86
P3 0.7496 0.2473 0.4991  3 Ho 2.83-2.84, 1 Dy 2.85, 2 Ce 2.86
Ce2 0.5000 0.5000 0.0000  6 P 2.86
P4 0.7518 0.7527 0.0022  3 Ho 2.83-2.84, 1 Dy 2.85, 2 Ce 2.86
Dy1 0.0000 0.5000 0.0000  6 P 2.85
P5 0.2504 0.7527 0.0022  3 Ho 2.83-2.84, 1 Dy 2.85, 2 Ce 2.86
P6 0.7517 0.7550 0.5033  3 Ho 2.83, 3 Ce 2.86
Ce3 0.5000 0.5000 0.5000  6 P 2.86
P7 0.7496 0.2473 0.9978  3 Ho 2.83-2.84, 1 Dy 2.85, 2 Ce 2.86
Ho4 0.5000 0.0000 0.0000  6 P 2.84
P8 0.2482 0.2473 0.9978  3 Ho 2.83-2.84, 1 Dy 2.85, 2 Ce 2.86

Material: ZnAg2Mo
Method: DFT, PBE
State: relaxed

Output
For the formation enthalpy at 0 K, the calculation gives 0.3972 eV per atom.

Cell lengths 2.7737, 4.8483, 4.9498 Å; angles 90.00, 90.00, 90.00 degrees
Last column: nearest neighbours and their distance in Å.
Fractional coordinates of all 4 atoms:
Ag1 0.5000 0.5000 0.0000  6 Ag 2.77-2.79, 4 Zn 2.84
Zn1 0.0000 0.5000 0.5000  2 Zn 2.77, 4 Mo 2.79, 4 Ag 2.84
Mo1 0.5000 0.0000 0.5000  2 Mo 2.77, 4 Zn 2.79, 4 Ag 2.84
Ag2 0.0000 0.0000 0.0000  6 Ag 2.77-2.79, 4 Mo 2.84

Material: Ba8SrLi2
Method: DFT, PBE
State: relaxed

Output
Its relative energy among the computed polymorphs is 0 meV per atom. For the formation enthalpy at 0 K, the calculation gives 0.0547 eV per atom.

Cell lengths 5.4307, 10.4836, 12.0688 Å; angles 67.60, 76.98, 90.01 degrees
Last column: nearest neighbours and their distance in Å.
Fractional coordinates of all 11 atoms:
Ba1 0.5388 0.7378 0.8909  1 Li 3.94, 6 Ba 4.15-4.38, 2 Sr 4.22
Li1 0.3007 0.3053 0.3667  8 Ba 3.67-3.94
Ba2 0.8207 0.0567 0.3275  3 Li 3.76-3.91, 4 Ba 4.11-4.15
Ba3 0.1002 0.4889 0.7685  2 Li 3.67
Li2 0.6983 0.6954 0.5727  8 Ba 3.67-3.94
Ba4 0.3216 0.7260 0.3257  3 Li 3.89-4.25, 2 Ba 4.35
Ba5 0.6775 0.2745 0.6136  3 Li 3.89-4.25, 2 Ba 4.35
Ba6 0.4602 0.2626 0.0485  1 Li 3.94, 6 Ba 4.15-4.38, 2 Sr 4.22
Sr1 0.9995 0.0003 0.9697  6 Ba 4.22-4.47
Ba7 0.1784 0.9438 0.6119  3 Li 3.76-3.91, 4 Ba 4.11-4.15
Ba8 0.8988 0.5116 0.1709  2 Li 3.67

Material: Sm6HoTm2Th3
Method: DFT, PBE
State: relaxed

Output
For the formation enthalpy at 0 K, the calculation gives 0.0383 eV per atom.

Cell lengths 6.2102, 6.2102, 11.8890 Å; angles 95.01, 95.01, 119.94 degrees
Last column: nearest neighbours and their distance in Å.
Fractional coordinates of all 12 atoms:
Ho1 0.0000 0.0000 0.0000  6 Tm 3.58-3.59, 6 Sm 3.61
Sm1 0.5826 0.9162 0.7478  3 Th 3.56, 6 Sm 3.58-3.59, 2 Tm 3.60-3.61, 1 Ho 3.61
Sm2 0.7503 0.7503 0.2521  3 Th 3.56, 6 Sm 3.58-3.59, 2 Tm 3.60, 1 Ho 3.61
Tm1 0.3332 0.6668 0.0000  3 Ho 3.58-3.59, 3 Tm 3.59, 6 Sm 3.60-3.61
Th1 0.8334 0.1666 0.5000  6 Sm 3.56, 6 Th 3.58-3.59
Sm3 0.0838 0.4174 0.2522  3 Th 3.56, 6 Sm 3.58-3.59, 2 Tm 3.60-3.61, 1 Ho 3.61
Th2 0.1666 0.8334 0.5000  6 Sm 3.56, 6 Th 3.58-3.59
Tm2 0.6668 0.3332 0.0000  3 Ho 3.58-3.59, 3 Tm 3.59, 6 Sm 3.60-3.61
Sm4 0.9162 0.5826 0.7478  3 Th 3.56, 6 Sm 3.58-3.59, 2 Tm 3.60-3.61, 1 Ho 3.61
Sm5 0.4174 0.0838 0.2522  3 Th 3.56, 6 Sm 3.58-3.59, 2 Tm 3.60-3.61, 1 Ho 3.61
Sm6 0.2497 0.2497 0.7479  3 Th 3.56, 6 Sm 3.58-3.59, 2 Tm 3.60, 1 Ho 3.61
Th3 0.5000 0.5000 0.5000  6 Sm 3.56, 6 Th 3.59

Material: HfPdCl2
Method: DFT, PBE
State: relaxed

Output
As for the uncorrected formation energy: -67 meV/atom. Its relative energy among the computed polymorphs is 623 meV per atom.

Cell lengths 6.1924, 6.1924, 6.4487 Å; angles 61.31, 61.31, 90.00 degrees
Last column: nearest neighbours and their distance in Å.
Fractional coordinates of all 8 atoms:
Pd1 0.5000 0.5000 0.0000  4 Cl 2.50
Hf1 0.0000 0.0000 0.0000  4 Cl 2.48
Hf2 0.7500 0.2500 0.5000  4 Cl 2.48
Cl1 0.6284 0.1250 0.2500  2 Hf 2.48, 2 Pd 2.50
Pd2 0.2500 0.7500 0.5000  4 Cl 2.50
Cl2 0.1216 0.6250 0.2500  2 Hf 2.48, 2 Pd 2.50
Cl3 0.3750 0.3716 0.7500  2 Hf 2.48, 2 Pd 2.50
Cl4 0.8750 0.8784 0.7500  2 Hf 2.48, 2 Pd 2.50

Material: LiPbS2
Method: DFT, PBE
State: relaxed

Output
As for the uncorrected formation energy: -542 meV/atom.

Cell lengths 4.4739, 4.4601, 7.0224 Å; angles 69.98, 70.00, 56.59 degrees
Last column: nearest neighbours and their distance in Å.
Fractional coordinates of all 4 atoms:
Li1 0.2499 0.6949 0.1533  4 S 2.51-2.60
Pb1 0.7391 0.1857 0.6960  4 S 2.53-2.73
S1 0.5991 0.0432 0.0875  1 Pb 2.53, 3 Li 2.56-2.60
S2 0.1165 0.5608 0.5418  1 Li 2.51, 3 Pb 2.72-2.73

Material: IrICl3
Method: DFT, PBE
State: relaxed

Output
As for the uncorrected formation energy: -296 meV/atom. Its relative energy among the computed polymorphs is 0 meV per atom.

Cell lengths 6.6201, 6.1107, 8.3633 Å; angles 75.78, 73.42, 107.60 degrees
Last column: nearest neighbours and their distance in Å.
Fractional coordinates of all 10 atoms:
I1 0.8115 0.6031 0.8650  1 Ir 2.59
I2 0.4375 0.7290 0.6131  1 Ir 2.59
Ir1 0.7985 0.0975 0.3656  5 Cl 2.30-2.45
Ir2 0.9251 0.7240 0.1125  5 Cl 2.30-2.45
Cl1 0.2554 0.0502 0.9021  1 Ir 2.30
Cl2 0.7134 0.9737 0.1317  2 Ir 2.37-2.41
Cl3 0.9184 0.2133 0.5760  1 Ir 2.30
Cl4 0.0154 0.8529 0.3477  2 Ir 2.37-2.45
Cl5 0.6061 0.3664 0.3463  2 Ir 2.37-2.41
Cl6 0.1241 0.4616 0.1303  2 Ir 2.37-2.45

Material: Nd3Sm2Hg7
Method: DFT, PBE
State: relaxed

Output
For the formation enthalpy at 0 K, the calculation gives -0.3309 eV per atom.

Cell lengths 5.6000, 5.2426, 12.0175 Å; angles 102.60, 90.00, 90.00 degrees
Last column: nearest neighbours and their distance in Å.
Fractional coordinates of all 12 atoms:
Hg1 0.5000 0.0847 0.1695  2 Sm 3.11, 4 Nd 3.29-3.30, 2 Hg 3.43
Nd1 0.5000 0.3299 0.6599  4 Hg 3.07-3.30
Hg2 0.0000 0.2761 0.5521  2 Hg 2.89, 2 Nd 3.07, 1 Sm 3.14
Nd2 0.5000 0.5000 0.0000  8 Hg 3.29
Nd3 0.5000 0.6701 0.3401  4 Hg 3.07-3.30
Hg3 0.0000 0.5739 0.1478  2 Sm 3.07, 2 Hg 3.14, 2 Nd 3.29
Sm1 0.0000 0.8577 0.7154  8 Hg 3.07-3.34
Hg4 0.0000 0.0000 0.0000  8 Hg 3.14-3.43, 2 Sm 3.34
Sm2 0.0000 0.1423 0.2846  8 Hg 3.07-3.34
Hg5 0.0000 0.7239 0.4479  2 Hg 2.89, 2 Nd 3.07, 1 Sm 3.14
Hg6 0.5000 0.9153 0.8305  2 Sm 3.11, 4 Nd 3.29-3.30, 2 Hg 3.43
Hg7 0.0000 0.4261 0.8522  2 Sm 3.07, 2 Hg 3.14, 2 Nd 3.29

Material: Tl7Hg2Sb
Method: DFT, PBE
State: relaxed

Output
As for the uncorrected formation energy: 56 meV/atom. Its relative energy among the computed polymorphs is 57 meV per atom.

Cell lengths 3.4512, 11.4479, 11.4480 Å; angles 130.39, 90.00, 90.00 degrees
Last column: nearest neighbours and their distance in Å.
Fractional coordinates of all 10 atoms:
Tl1 0.0000 0.8182 0.1818  2 Hg 3.30, 6 Tl 3.40-3.45
Tl2 0.5000 0.1413 0.3207  5 Tl 3.19-3.45, 1 Hg 3.23, 2 Sb 3.37
Tl3 0.5000 0.6793 0.8587  5 Tl 3.19-3.45, 1 Hg 3.23, 2 Sb 3.37
Tl4 0.5000 0.5000 0.5000  6 Tl 3.19-3.45
Hg1 0.5000 0.3170 0.6830  4 Tl 3.23-3.30, 2 Hg 3.45
Sb1 0.0000 0.0000 0.0000  10 Tl 3.37-3.78, 2 Sb 3.45
Tl5 0.5000 0.8587 0.6793  5 Tl 3.19-3.45, 1 Hg 3.23, 2 Sb 3.37
Hg2 0.5000 0.6830 0.3170  4 Tl 3.23-3.30, 2 Hg 3.45
Tl6 0.5000 0.3207 0.1413  5 Tl 3.19-3.45, 1 Hg 3.23, 2 Sb 3.37
Tl7 0.0000 0.1818 0.8182  2 Hg 3.30, 6 Tl 3.40-3.45

Material: BeZnS2Cl
Method: DFT, PBE
State: relaxed

Output
As for the uncorrected formation energy: 628 meV/atom. Its relative energy among the computed polymorphs is 524 meV per atom.

Cell lengths 4.6624, 4.6624, 4.7523 Å; angles 90.00, 90.00, 90.00 degrees
Last column: nearest neighbours and their distance in Å.
Fractional coordinates of all 5 atoms:
S1 0.5000 0.0000 0.0000  2 Zn 2.33
S2 0.0000 0.5000 0.0000  2 Zn 2.33
Zn1 0.0000 0.0000 0.0000  4 S 2.33, 2 Cl 2.38
Cl1 0.0000 0.0000 0.5000  2 Zn 2.38
Be1 0.5000 0.5000 0.5000  4 Cl 3.30, 8 S 3.33

Material: CuAs2BrO
Method: DFT, PBE
State: relaxed

Output
As for the uncorrected formation energy: 390 meV/atom. Its relative energy among the computed polymorphs is 0 meV per atom.

Cell lengths 4.0602, 4.0602, 6.6278 Å; angles 90.00, 90.00, 90.00 degrees
Last column: nearest neighbours and their distance in Å.
Fractional coordinates of all 5 atoms:
As1 0.0000 0.5000 0.0000  2 O 2.03
O1 0.0000 0.0000 0.0000  4 As 2.03
Cu1 0.5000 0.5000 0.5000  4 Br 2.87
Br1 0.0000 0.0000 0.5000  4 Cu 2.87
As2 0.5000 0.0000 0.0000  2 O 2.03

Result set for E_tot: -79.656; -65.036; -52.159; -26.758; -9.992; -32.892; -25.810; -109.168; -16.219; -20.290; -63.636; -38.213; -16.047; -34.863; -29.825; -20.732; -11.961; -18.077 eV per cell, one per record in the order listed.